[1]
The following is a DFT calculation (PBEsol) of crystalline CsSnNO2 at its relaxed geometry.

a b c (Å): 4.1657 4.1657 4.4821
angles (deg): 90.00 90.00 90.00
Closest atoms and distances in Å follow each position.
Fractional coordinates of all 5 atoms:
O 0.0000 0.5000 0.0000  2 Sn 2.08
N 0.0000 0.0000 0.5000  2 Sn 2.24
Cs 0.5000 0.5000 0.5000  4 N 2.95, 8 O 3.06
O 0.5000 0.0000 0.0000  2 Sn 2.08
Sn 0.0000 0.0000 0.0000  4 O 2.08, 2 N 2.24

Results
* formation energy from raw total energies: -0.41 eV/atom
* E_tot: -0.387 Ry per atom
* magnetization: 1.98 μB per formula unit



[2]
The following is a DFT calculation (PBEsol) of crystalline CsTlN2O at its relaxed geometry.

a b c (Å): 4.4002 4.6413 4.6413
angles (deg): 90.00 90.00 90.00
Closest atoms and distances in Å follow each position.
Fractional coordinates of all 5 atoms:
N 0.0000 0.5000 0.0000  2 Tl 2.32
O 0.5000 0.0000 0.0000  2 Tl 2.20
Tl 0.0000 0.0000 0.0000  2 O 2.20, 4 N 2.32
N 0.0000 0.0000 0.5000  2 Tl 2.32
Cs 0.5000 0.5000 0.5000  8 N 3.20, 4 O 3.28

Results
* formation energy from raw total energies: 1.07 eV/atom
* E_tot: -0.302 Ry per atom
* magnetization: 3.98 μB per formula unit



[3]
The following is a DFT calculation (PBEsol) of crystalline CsWNO2 at its relaxed geometry.

a b c (Å): 4.1696 4.1696 4.8573
angles (deg): 90.00 90.00 90.00
Closest atoms and distances in Å follow each position.
Fractional coordinates of all 5 atoms:
W 0.5000 0.5000 0.5000  4 N 2.95, 8 O 3.20
N 0.0000 0.0000 0.5000  2 Cs 2.43
O 0.5000 0.0000 0.0000  2 Cs 2.08
Cs 0.0000 0.0000 0.0000  4 O 2.08
O 0.0000 0.5000 0.0000  2 Cs 2.08

Results
* formation energy from raw total energies: 2.37 eV/atom
* E_tot: -0.322 Ry per atom
* magnetization: 3.38 μB per formula unit